(1)
A relaxed LiNi3Sb2 crystal. Source: Alexandria, functional PBE.

Unit cell a=7.768 b=7.768 c=8.647 alpha=123.47 beta=123.47 gamma=28.51
Sites, in units of the cell vectors:
Li1 0.171 0.171 0.379
Li2 0.829 0.829 0.621
Ni1 0.035 0.035 0.671
Ni2 0.317 0.317 0.101
Ni3 0.403 0.403 0.456
Ni4 0.597 0.597 0.544
Ni5 0.683 0.683 0.899
Ni6 0.965 0.965 0.329
Sb1 0.228 0.228 0.749
Sb2 0.495 0.495 0.812
Sb3 0.505 0.505 0.188
Sb4 0.772 0.772 0.251

Calculated values
Uncorrected energy in Ry per atom: -0.3519
ρ in g/cm³: 6.92
Formation energy (no corrections) in eV/atom: -0.20

(2)
A relaxed LaInHg4 crystal. Source: Alexandria, functional PBE.

Unit cell a=4.893 b=12.887 c=4.957 alpha=90.00 beta=90.00 gamma=90.00
Sites, in units of the cell vectors:
La1 0.000 0.000 0.000
La2 0.500 0.500 0.000
In1 0.000 0.500 0.500
In2 0.500 0.000 0.500
Hg1 0.000 0.169 0.500
Hg2 0.000 0.325 0.000
Hg3 0.000 0.675 0.000
Hg4 0.000 0.831 0.500
Hg5 0.500 0.175 0.000
Hg6 0.500 0.331 0.500
Hg7 0.500 0.669 0.500
Hg8 0.500 0.825 0.000

Calculated values
ΔE_f in eV/atom: -0.301
Uncorrected energy in Ry per atom: -0.1308
ρ in g/cm³: 11.22

(3)
A relaxed ScSe2S crystal. Source: Alexandria, functional PBE.

Unit cell a=3.883 b=3.883 c=23.630 alpha=90.00 beta=90.00 gamma=120.00
Sites, in units of the cell vectors:
Sc1 0.000 0.000 0.000
Sc2 0.333 0.667 0.667
Sc3 0.667 0.333 0.333
Se1 0.000 0.000 0.397
Se2 0.000 0.000 0.603
Se3 0.333 0.667 0.064
Se4 0.333 0.667 0.269
Se5 0.667 0.333 0.731
Se6 0.667 0.333 0.936
S1 0.000 0.000 0.500
S2 0.333 0.667 0.167
S3 0.667 0.333 0.833

Calculated values
Uncorrected energy in Ry per atom: -0.3710
ρ in g/cm³: 3.79
Formation energy (no corrections) in eV/atom: -0.69

(4)
A relaxed CeH4Rh2 crystal. Source: Alexandria, functional PBE.

Unit cell a=5.188 b=5.189 c=5.692 alpha=90.00 beta=90.29 gamma=90.00
Sites, in units of the cell vectors:
Ce1 0.000 0.000 0.000
Ce2 0.500 0.500 0.000
H1 0.248 0.250 0.716
H2 0.248 0.750 0.716
H3 0.252 0.250 0.284
H4 0.252 0.750 0.284
H5 0.748 0.250 0.716
H6 0.748 0.750 0.716
H7 0.752 0.250 0.284
H8 0.752 0.750 0.284
Rh1 0.001 0.500 0.265
Rh2 0.499 0.000 0.735
Rh3 0.501 0.000 0.265
Rh4 0.999 0.500 0.735

Calculated values
Uncorrected energy in Ry per atom: -0.3830
ρ in g/cm³: 7.58

(5)
A relaxed CeInGa crystal. Source: Alexandria, functional PBE.

Unit cell a=6.833 b=6.833 c=6.833 alpha=90.00 beta=90.00 gamma=90.00
Sites, in units of the cell vectors:
Ce1 0.000 0.000 0.000
Ce2 0.000 0.500 0.500
Ce3 0.500 0.000 0.500
Ce4 0.500 0.500 0.000
In1 0.000 0.000 0.500
In2 0.000 0.500 0.000
In3 0.500 0.000 0.000
In4 0.500 0.500 0.500
Ga1 0.250 0.250 0.750
Ga2 0.250 0.750 0.250
Ga3 0.750 0.250 0.250
Ga4 0.750 0.750 0.750

Calculated values
ΔE_f in eV/atom: -0.321
Uncorrected energy in Ry per atom: -0.3102
ρ in g/cm³: 6.76

(6)
A relaxed BaIn6Sn6 crystal. Source: Alexandria, functional PBE.

Unit cell a=8.125 b=8.125 c=8.125 alpha=90.00 beta=90.00 gamma=90.00
Sites, in units of the cell vectors:
Ba1 0.000 0.000 0.000
In1 0.000 0.254 0.500
In2 0.000 0.746 0.500
In3 0.254 0.500 0.000
In4 0.500 0.000 0.254
In5 0.500 0.000 0.746
In6 0.746 0.500 0.000
Sn1 0.000 0.500 0.244
Sn2 0.000 0.500 0.756
Sn3 0.244 0.000 0.500
Sn4 0.500 0.244 0.000
Sn5 0.500 0.756 0.000
Sn6 0.756 0.000 0.500

Calculated values
ΔE_f in eV/atom: 0.101
Uncorrected energy in Ry per atom: -0.2321
ρ in g/cm³: 4.76

(7)
A relaxed BaPmGa2 crystal. Source: Alexandria, functional PBE.

Unit cell a=4.307 b=16.528 c=7.590 alpha=90.00 beta=90.00 gamma=90.00
Sites, in units of the cell vectors:
Ba1 0.000 0.096 0.250
Ba2 0.000 0.904 0.750
Ba3 0.500 0.404 0.750
Ba4 0.500 0.596 0.250
Pm1 0.000 0.369 0.250
Pm2 0.000 0.631 0.750
Pm3 0.500 0.131 0.750
Pm4 0.500 0.869 0.250
Ga1 0.000 0.237 0.579
Ga2 0.000 0.237 0.921
Ga3 0.000 0.763 0.079
Ga4 0.000 0.763 0.421
Ga5 0.500 0.263 0.079
Ga6 0.500 0.263 0.421
Ga7 0.500 0.737 0.579
Ga8 0.500 0.737 0.921

Calculated values
ΔE_f in eV/atom: -0.319
Uncorrected energy in Ry per atom: -0.2573
ρ in g/cm³: 5.19

(8)
A relaxed CaEu2Th crystal. Source: Alexandria, functional PBE.

Unit cell a=3.714 b=3.714 c=11.027 alpha=90.00 beta=90.00 gamma=90.00
Sites, in units of the cell vectors:
Ca1 0.000 0.000 0.000
Eu1 0.500 0.500 0.268
Eu2 0.500 0.500 0.732
Th1 0.000 0.000 0.500

Calculated values
ΔE_f in eV/atom: 0.123
Uncorrected energy in Ry per atom: -0.5417
ρ in g/cm³: 6.29

(9)
A relaxed Al2TcAg2 crystal. Source: Alexandria, functional PBE.

Unit cell a=7.390 b=7.390 c=2.926 alpha=90.00 beta=90.00 gamma=90.00
Sites, in units of the cell vectors:
Al1 0.159 0.341 0.000
Al2 0.341 0.841 0.000
Al3 0.659 0.159 0.000
Al4 0.841 0.659 0.000
Tc1 0.000 0.000 0.000
Tc2 0.500 0.500 0.000
Ag1 0.141 0.641 0.500
Ag2 0.359 0.141 0.500
Ag3 0.641 0.859 0.500
Ag4 0.859 0.359 0.500

Calculated values
ΔE_f in eV/atom: 0.171
Uncorrected energy in Ry per atom: -0.3337
ρ in g/cm³: 7.64

(10)
A relaxed CaTl2Se crystal. Source: Alexandria, functional PBE.

Unit cell a=4.137 b=5.351 c=10.465 alpha=90.00 beta=90.00 gamma=90.00
Sites, in units of the cell vectors:
Ca1 0.000 0.000 0.000
Ca2 0.500 0.500 0.500
Tl1 0.000 0.000 0.433
Tl2 0.000 0.500 0.217
Tl3 0.500 0.000 0.717
Tl4 0.500 0.500 0.933
Se1 0.000 0.500 0.695
Se2 0.500 0.000 0.195

Calculated values
Uncorrected energy in Ry per atom: -0.2300
ρ in g/cm³: 7.57
Formation energy (no corrections) in eV/atom: -0.57

(11)
A relaxed Pr4YSe6 crystal. Source: Alexandria, functional PBE.

Unit cell a=8.385 b=8.385 c=8.385 alpha=91.02 beta=91.02 gamma=91.02
Sites, in units of the cell vectors:
Pr1 0.135 0.750 0.365
Pr2 0.250 0.250 0.250
Pr3 0.250 0.635 0.865
Pr4 0.365 0.135 0.750
Pr5 0.635 0.865 0.250
Pr6 0.750 0.365 0.135
Pr7 0.750 0.750 0.750
Pr8 0.865 0.250 0.635
Y1 0.000 0.000 0.000
Y2 0.500 0.500 0.500
Se1 0.061 0.917 0.682
Se2 0.083 0.318 0.939
Se3 0.182 0.417 0.561
Se4 0.318 0.939 0.083
Se5 0.417 0.561 0.182
Se6 0.439 0.818 0.583
Se7 0.561 0.182 0.417
Se8 0.583 0.439 0.818
Se9 0.682 0.061 0.917
Se10 0.818 0.583 0.439
Se11 0.917 0.682 0.061
Se12 0.939 0.083 0.318

Calculated values
Uncorrected energy in Ry per atom: -0.4394
ρ in g/cm³: 6.35
Formation energy (no corrections) in eV/atom: -1.75

(12)
A relaxed Ti2TcAg crystal. Source: Alexandria, functional PBE.

Unit cell a=4.428 b=4.428 c=3.252 alpha=90.00 beta=90.00 gamma=90.00
Sites, in units of the cell vectors:
Ti1 0.000 0.500 0.000
Ti2 0.500 0.000 0.000
Tc1 0.000 0.000 0.500
Ag1 0.500 0.500 0.500

Calculated values
ΔE_f in eV/atom: -0.157
Uncorrected energy in Ry per atom: -0.5446
ρ in g/cm³: 7.86

> Which value of uncorrected energy does entry 11 give?

-0.4394 Ry per atom